Crystalline KBe2Hg at its relaxed geometry, computed with PBE-GGA.

Properties
DFT formation energy	0.664	eV per atom
space-group type	Imm2

Unit cell a=5.482 b=5.482 c=5.482 alpha=135.09 beta=113.81 gamma=83.57
Fractional coordinates of all 4 atoms:
Be1 0.841 0.341 0.500
Be2 0.864 0.864 0.000
Hg1 0.564 0.564 0.000
K1 0.230 0.730 0.500